{
  "formula": "LiInTc2",
  "functional": "PBE",
  "state": "optimized geometry",
  "sg": "No. 166",
  "e_form_mev_per_atom": 523,
  "total_magnetization_mub_per_fu": 0.00,
  "dft_energy_ev_per_atom": -5.824,
  "cell": [[9.503, 0.000, 0.000], [9.080, 2.806, 0.000], [9.080, 1.371, 2.449]],
  "species": ["In", "Li", "Tc", "Tc"],
  "frac_coords": [[0.250, 0.250, 0.250], [0.750, 0.750, 0.750], [0.001, 0.001, 0.001], [0.499, 0.499, 0.499]]
}